PBE Tm3Ta2C4, relaxed; formation energy = -0.461 eV/atom; total DFT energy (no corrections) = -8.685 eV/atom; mass density = 10.993 g/cm3; crystal system = monoclinic; SG = C2/m, No. 12
1.0
-0.247 -1.927 2.807
5.214 -2.826 0.594
3.320 4.084 5.172
Tm Ta C
3 2 4
Cartesian
0.000 0.000 0.000 Tm
2.831 -0.675 1.862 Tm
5.457 0.005 6.711 Tm
2.687 0.944 5.036 Ta
5.600 -1.614 3.537 Ta
1.312 -0.455 3.955 C
6.975 -0.215 4.618 C
4.346 1.949 5.872 C
3.942 -2.618 2.701 C